# AcDyLu PBE relaxed
# DFT formation energy in eV/atom: 0.858
data_AcDyLu
_symmetry_space_group_name_H-M 'F -4 3 m'
_symmetry_Int_Tables_number 216
_symmetry_space_group_name_Hall 'F -4 2 3'
_cell_length_a 7.9410
_cell_length_b 7.9410
_cell_length_c 7.9410
_cell_angle_alpha 90.00
_cell_angle_beta 90.00
_cell_angle_gamma 90.00
loop_
_atom_site_label
_atom_site_fract_x
_atom_site_fract_y
_atom_site_fract_z
Ac1 0.0000 0.0000 0.0000
Dy1 0.2500 0.2500 0.7500
Lu1 0.2500 0.2500 0.2500

***

First-principles (PBE) data for a relaxed structure of AcDyNO, as listed in OQMD via LeMat-Bulk.

The structure in CIF format:
```
data_AcDyNO
_symmetry_space_group_name_H-M 'P 4/n m m'
_symmetry_Int_Tables_number 129
_cell_length_a 4.9197
_cell_length_b 4.9197
_cell_length_c 6.0820
_cell_angle_alpha 90.00
_cell_angle_beta 90.00
_cell_angle_gamma 90.00
loop_
_symmetry_equiv_pos_as_xyz
'x,y,z'
'-x,-y,-z'
'-y+1/2,x,z'
'y+1/2,-x,-z'
'-x+1/2,-y+1/2,z'
'x+1/2,y+1/2,-z'
'y,-x+1/2,z'
'-y,x+1/2,-z'
'x+1/2,-y,-z'
'-x+1/2,y,z'
'-y,-x,-z'
'y,x,z'
'-x,y+1/2,-z'
'x,-y+1/2,z'
'y+1/2,x+1/2,-z'
'-y+1/2,-x+1/2,z'
loop_
_atom_site_label
_atom_site_fract_x
_atom_site_fract_y
_atom_site_fract_z
Ac1 0.2500 0.7500 0.0000
Dy1 0.2500 0.2500 0.4744
N1 0.2500 0.2500 0.1262
O1 0.2500 0.7500 0.5000
```

***

First-principles (PBE) data for a relaxed structure of AcDyNO, as listed in OQMD via LeMat-Bulk.

The structure in CIF format:
```
data_AcDyNO
_symmetry_space_group_name_H-M 'P c a 21'
_symmetry_Int_Tables_number 29
_symmetry_space_group_name_Hall 'P 2c -2ac'
_cell_length_a 6.9711
_cell_length_b 8.4249
_cell_length_c 5.3709
_cell_angle_alpha 90.00
_cell_angle_beta 90.00
_cell_angle_gamma 90.00
loop_
_atom_site_label
_atom_site_fract_x
_atom_site_fract_y
_atom_site_fract_z
Ac1 0.0601 0.1307 0.0000
Dy1 0.0904 0.6150 0.9843
N1 0.0856 0.6047 0.5485
O1 0.0866 0.1601 0.4938
```

***

First-principles (PBE) data for a relaxed structure of AcDyNO, as listed in OQMD via LeMat-Bulk.

The structure in CIF format:
```
data_AcDyNO
_symmetry_space_group_name_H-M 'P m c 21'
_symmetry_Int_Tables_number 26
_symmetry_space_group_name_Hall 'P 2c -2'
_cell_length_a 4.1233
_cell_length_b 7.4429
_cell_length_c 5.1452
_cell_angle_alpha 90.00
_cell_angle_beta 90.00
_cell_angle_gamma 90.00
loop_
_atom_site_label
_atom_site_fract_x
_atom_site_fract_y
_atom_site_fract_z
Ac1 0.0000 0.1618 0.0000
Dy1 0.5000 0.3467 0.4999
N1 0.5000 0.3533 0.0014
O1 0.0000 0.2203 0.4994
```

***

no.,total magnetic moment (μB/cell),offset from the most stable computed form (eV/atom),V (Å³/atom)
1,0.260,0.1799,41.73
2,0.020,0.1500,18.40
3,2.793,0.0151,19.71
4,1.383,0.0000,19.74